(1)
Compound: Sr3PmHg4
Source: Alexandria via LeMat-Bulk
Functional: PBE
Structure: relaxed

Results
- Symmetry: P4/mmm
- Energy of formation from the pure elements: -0.516 eV per atom

Geometry as extended XYZ:
```
8
Lattice="-1.381 1.173 3.491 0.481 -3.639 1.413 14.831 3.747 4.605" Properties=species:S:1:pos:R:3 pbc="T T T"
Hg 13.185 3.332 4.094
Hg 5.504 1.391 1.709
Hg 9.328 2.357 2.896
Hg 1.646 0.416 0.511
Pm -0.450 -1.233 2.452
Sr 6.966 0.641 4.755
Sr 3.158 -0.321 3.573
Sr 10.774 1.603 5.937
```

(2)
Compound: SmErCuHg
Source: Alexandria via LeMat-Bulk
Functional: PBE
Structure: relaxed

Results
- Symmetry: F-43m
- Energy of formation from the pure elements: -0.316 eV per atom
- E above lowest polymorph: 0.025 eV/atom

Geometry as extended XYZ:
```
4
Lattice="5.141 0.000 0.000 2.571 4.453 0.000 2.571 1.484 4.198" Properties=species:S:1:pos:R:3 pbc="T T T"
Hg 7.712 4.453 3.148
Cu 2.571 1.484 1.049
Sm 5.141 2.968 2.099
Er 0.000 0.000 0.000
```

(3)
Compound: RbCa2N
Source: Alexandria via LeMat-Bulk
Functional: PBE
Structure: relaxed

Results
- Symmetry: R-3m
- E_form (uncorrected): -0.39 eV per atom

Geometry as extended XYZ:
```
4
Lattice="-1.498 1.385 3.134 0.688 -1.645 3.287 8.572 6.362 3.515" Properties=species:S:1:pos:R:3 pbc="T T T"
N 3.881 3.051 4.968
Ca 5.138 3.857 2.981
Ca 2.625 2.245 6.954
Rb 0.000 0.000 0.000
```

(4)
Compound: SmHo2Zn
Source: Alexandria via LeMat-Bulk
Functional: PBE
Structure: relaxed

Results
- Symmetry: P4/mmm
- Energy of formation from the pure elements: -0.029 eV per atom
- E above lowest polymorph: 0.134 eV/atom

Geometry as extended XYZ:
```
4
Lattice="4.757 0.000 0.000 0.000 4.751 0.000 0.000 0.000 4.751" Properties=species:S:1:pos:R:3 pbc="T T T"
Ho 0.000 0.000 2.375
Ho 0.000 2.375 0.000
Sm 2.379 2.375 2.375
Zn 2.379 0.000 0.000
```

Number 1: DFT total energy -1.89 eV/atom. Number 2: DFT total energy -3.74 eV/atom. Number 3: DFT total energy -3.71 eV/atom. Number 4: DFT total energy -3.82 eV/atom.